Arrangement P

# TcNiAs2

A geometry-optimized TcNiAs2 structure (PBEsol, Alexandria via LeMat-Bulk).

Lattice parameters (Å, degrees): 2.894 2.894 7.454 90.00 90.00 111.86
Atoms (fractional coordinates):
As  0.000  0.000  0.258
As  0.000  0.000  0.742
Ni  0.500  0.500  0.500
Tc  0.500  0.500  0.000

## Properties
Density   8787 kg/m3
Spin magnetization   0.00 μB/atom

***

Arrangement Q

# TcNiAs2

A geometry-optimized TcNiAs2 structure (PBEsol, Alexandria via LeMat-Bulk).

Lattice parameters (Å, degrees): 4.286 4.286 4.286 60.00 60.00 60.00
Each line ends with the local moment (μB).
Atoms (fractional coordinates):
As  0.250  0.250  0.250  0.04
As  0.750  0.750  0.750  0.04
Ni  0.000  0.000  0.000  0.58
Tc  0.500  0.500  0.500  0.77

## Properties
Density   9140 kg/m3
Spin magnetization   0.37 μB/atom

***

It is arrangement Q that is the most stable of them.

***

Arrangement P

# TlNiAs2

A geometry-optimized TlNiAs2 structure (PBEsol, Alexandria via LeMat-Bulk).

Lattice parameters (Å, degrees): 3.714 3.726 6.960 105.36 90.00 119.90
Atoms (fractional coordinates):
Ni  0.500  0.000  0.000
Tl  0.000  0.000  0.500
As  0.782  0.565  0.848
As  0.218  0.435  0.152

## Properties
Density   8625 kg/m3
Spin magnetization   0.00 μB/atom

***

Arrangement Q

# TlNiAs2

A geometry-optimized TlNiAs2 structure (PBEsol, Alexandria via LeMat-Bulk).

Lattice parameters (Å, degrees): 4.684 4.684 4.684 60.00 60.00 60.00
Atoms (fractional coordinates):
As  0.250  0.250  0.250
As  0.750  0.750  0.750
Ni  0.000  0.000  0.000
Tl  0.500  0.500  0.500

## Properties
Density   9433 kg/m3
Spin magnetization   0.00 μB/atom

***

It is arrangement P that is the most stable of them.